Entry from the Alexandria database: a relaxed structure of Ba3ZnPd2 (PBE-GGA).

The energy of formation from the pure elements is -0.46 eV per atom. The value obtained for the total magnetization is 0.000 μB per cell. As for the theoretical density: 5.71 g/cm³.

The space group is Pnma (No. 62) and the conventional cell measures 12.9827, 4.6208 and 13.3770 Å, with angles of 90.00, 90.00 and 90.00 degrees. The inequivalent atoms are Ba at (0.0654, 0.2500, 0.1202), Ba at (0.1220, 0.7500, 0.5563), Ba at (0.1961, 0.2500, 0.8056), Zn at (0.1293, 0.2500, 0.3684), Pd at (0.0454, 0.7500, 0.3216) and Pd at (0.1973, 0.7500, 0.9764).